(1)
A plane-wave DFT calculation with PBE was carried out for Pr2Be2Os2C after structural relaxation.

Results
DFT total energy = -7.141 eV per atom
ΔH_f (0 K) = -17.9 kJ/mol of atoms

a = 5.728 Å, b = 5.728 Å, c = 7.068 Å
α = 123.91°, β = 123.91°, γ = 40.18°
Sites, in units of the cell vectors:
Pr1 0.076 0.076 0.319
Pr2 0.924 0.924 0.681
Be1 0.344 0.344 0.287
Be2 0.656 0.656 0.713
Os1 0.296 0.296 0.921
Os2 0.704 0.704 0.079
C1 0.500 0.500 0.000

(2)
A plane-wave DFT calculation with PBE was carried out for PuBeOsC after structural relaxation.

Results
DFT total energy = -9.612 eV per atom
ΔH_f (0 K) = 1.6 kJ/mol of atoms

a = 3.621 Å, b = 3.621 Å, c = 8.452 Å
α = 90.00°, β = 90.00°, γ = 90.00°
Sites, in units of the cell vectors:
Pu1 0.250 0.250 0.157
Pu2 0.750 0.750 0.843
Be1 0.250 0.250 0.684
Be2 0.750 0.750 0.316
Os1 0.250 0.750 0.500
Os2 0.750 0.250 0.500
C1 0.250 0.250 0.885
C2 0.750 0.750 0.115

(3)
A plane-wave DFT calculation with PBE was carried out for Sm2Be2Os2C after structural relaxation.

Results
DFT total energy = -7.190 eV per atom
ΔH_f (0 K) = -24.2 kJ/mol of atoms

a = 5.670 Å, b = 5.670 Å, c = 6.909 Å
α = 123.90°, β = 123.90°, γ = 39.89°
Sites, in units of the cell vectors:
Sm1 0.078 0.078 0.317
Sm2 0.922 0.922 0.683
Be1 0.358 0.358 0.306
Be2 0.642 0.642 0.694
Os1 0.294 0.294 0.918
Os2 0.706 0.706 0.082
C1 0.500 0.500 0.000

(4)
A plane-wave DFT calculation with PBE was carried out for ThBeOsC after structural relaxation.

Results
DFT total energy = -8.122 eV per atom
ΔH_f (0 K) = -21.4 kJ/mol of atoms

a = 3.741 Å, b = 3.741 Å, c = 8.704 Å
α = 90.00°, β = 90.00°, γ = 90.00°
Sites, in units of the cell vectors:
Th1 0.250 0.250 0.161
Th2 0.750 0.750 0.839
Be1 0.250 0.250 0.674
Be2 0.750 0.750 0.326
Os1 0.250 0.750 0.500
Os2 0.750 0.250 0.500
C1 0.250 0.250 0.872
C2 0.750 0.750 0.128

(5)
A plane-wave DFT calculation with PBE was carried out for Th3Be2Os2C3 after structural relaxation.

Results
DFT total energy = -8.080 eV per atom
ΔH_f (0 K) = -9.2 kJ/mol of atoms

a = 11.197 Å, b = 11.197 Å, c = 11.197 Å
α = 159.76°, β = 159.76°, γ = 28.78°
Sites, in units of the cell vectors:
Th1 0.000 0.000 0.000
Th2 0.379 0.379 0.000
Th3 0.621 0.621 0.000
Be1 0.250 0.750 0.500
Be2 0.750 0.250 0.500
Os1 0.203 0.203 0.000
Os2 0.797 0.797 0.000
C1 0.115 0.115 0.000
C2 0.500 0.500 0.000
C3 0.885 0.885 0.000

(6)
A plane-wave DFT calculation with PBE was carried out for Ti2BeOsC after structural relaxation.

Results
DFT total energy = -8.178 eV per atom
ΔH_f (0 K) = -17.7 kJ/mol of atoms

a = 4.130 Å, b = 4.130 Å, c = 3.923 Å
α = 90.00°, β = 90.00°, γ = 90.00°
Sites, in units of the cell vectors:
Ti1 0.000 0.500 0.000
Ti2 0.500 0.000 0.000
Be1 0.000 0.000 0.500
Os1 0.500 0.500 0.500
C1 0.500 0.500 0.000

(7)
A plane-wave DFT calculation with PBE was carried out for UBeOsC after structural relaxation.

Results
DFT total energy = -8.930 eV per atom
ΔH_f (0 K) = -6.1 kJ/mol of atoms

a = 3.631 Å, b = 3.631 Å, c = 8.340 Å
α = 90.00°, β = 90.00°, γ = 90.00°
Sites, in units of the cell vectors:
U1 0.250 0.250 0.159
U2 0.750 0.750 0.841
Be1 0.250 0.250 0.680
Be2 0.750 0.750 0.320
Os1 0.250 0.750 0.500
Os2 0.750 0.250 0.500
C1 0.250 0.250 0.886
C2 0.750 0.750 0.114

(8)
A plane-wave DFT calculation with PBE was carried out for BeP3C after structural relaxation.

Results
offset from the most stable computed form = 2.44 eV/f.u.
DFT total energy = -4.046 eV per atom
ΔH_f (0 K) = 172.7 kJ/mol of atoms

a = 4.131 Å, b = 4.131 Å, c = 4.131 Å
α = 90.00°, β = 90.00°, γ = 90.00°
Sites, in units of the cell vectors:
Be1 0.000 0.000 0.000
P1 0.000 0.000 0.500
P2 0.000 0.500 0.000
P3 0.500 0.000 0.000
C1 0.500 0.500 0.500